No. 1
# Rb2CoBr7 GGA-PBE optimized geometry
data_Rb2CoBr7
_chemical_formula_sum 'Rb4 Co2 Br14'
_cell_length_a 8.1253
_cell_length_b 8.1253
_cell_length_c 10.9113
_cell_angle_alpha 90.00
_cell_angle_beta 90.00
_cell_angle_gamma 90.00
_space_group_name_H-M_alt 'I 4/m m m'
_space_group_IT_number 139
_space_group_name_Hall '-I 4 2'
loop_
_atom_site_label
_atom_site_type_symbol
_atom_site_fract_x
_atom_site_fract_y
_atom_site_fract_z
_atom_site_occupancy
Rb1 Rb 0.0000 0.5000 0.2500 1
Co1 Co 0.0000 0.0000 0.0000 1
Br1 Br 0.0000 0.0000 0.2612 1
Br2 Br 0.0000 0.0000 0.5000 1
Br3 Br 0.2053 0.2053 0.0000 1
# magnetization: 2.0 μB/f.u.
# E_tot: -0.1043 Ha/atom
# uncorrected formation energy: -763 meV/atom
# ρ: 3.6 Mg/m³
# DOS at the Fermi energy: 4.052 states/eV/f.u.

***

No. 2
# RbCoBr3 GGA-PBE optimized geometry
data_RbCoBr3
_chemical_formula_sum 'Rb4 Co4 Br12'
_cell_length_a 9.5042
_cell_length_b 4.0635
_cell_length_c 15.6454
_cell_angle_alpha 90.00
_cell_angle_beta 90.00
_cell_angle_gamma 90.00
_space_group_name_H-M_alt 'P n m a'
_space_group_IT_number 62
_space_group_name_Hall '-P 2ac 2n'
loop_
_atom_site_label
_atom_site_type_symbol
_atom_site_fract_x
_atom_site_fract_y
_atom_site_fract_z
_atom_site_occupancy
Rb1 Rb 0.0556 0.2500 0.1730 1
Co1 Co 0.1573 0.7500 0.4512 1
Br1 Br 0.0186 0.7500 0.5924 1
Br2 Br 0.1887 0.7500 0.0038 1
Br3 Br 0.2404 0.2500 0.8037 1
# magnetization: 3.0 μB/f.u.
# E_tot: -0.1269 Ha/atom
# uncorrected formation energy: -834 meV/atom
# ρ: 4.2 Mg/m³
# DOS at the Fermi energy: 1.552 states/eV/f.u.